The following is a DFT calculation (PBE-GGA) of a relaxed Al2HRhAu crystal.

Cell: 4.280 4.280 3.458 Å, 90.00 90.00 90.00°
Atoms (fractional coordinates):
Al  0.000  0.500  0.000
Al  0.500  0.000  0.000
H  0.000  0.000  0.000
Rh  0.000  0.000  0.500
Au  0.500  0.500  0.500

Results
- Magnetization: 0.000 μB/cell
- Electronic total energy: -4.6367 eV/atom
- Density of states at the Fermi level: 1.25 states/eV/f.u.


The following is a DFT calculation (PBE-GGA) of a relaxed Al2HRuAu crystal.

Cell: 4.224 4.224 3.491 Å, 90.00 90.00 90.00°
Atoms (fractional coordinates):
Al  0.000  0.500  0.000
Al  0.500  0.000  0.000
H  0.000  0.000  0.000
Ru  0.000  0.000  0.500
Au  0.500  0.500  0.500

Results
- Magnetization: 0.000 μB/cell
- Electronic total energy: -4.9287 eV/atom
- Density of states at the Fermi level: 2.05 states/eV/f.u.


Question: Which value of electronic total energy does entry 1 give?
Answer: -4.6367 eV/atom